i | 10
Lattice="10.872 -2.560 0.000 10.872 2.560 0.000 -1.141 0.000 4.851" Properties=species:S:1:pos:R:3 comment="TlCuSn3 (GGA-PBE, optimized geometry)" spacegroup="C2/m, No. 12" m_tot_mub_per_atom=0.00 rho_g_cm3=7.68 dos_at_fermi_per_ev_cell=4.4 pbc="T T T"
Tl 1.225 0.000 1.563
Tl 19.377 0.000 3.288
Cu 7.254 0.000 0.417
Cu 13.349 0.000 4.434
Sn 3.186 0.000 4.570
Sn 5.828 0.000 2.643
Sn 9.774 0.000 1.019
Sn 10.828 0.000 3.832
Sn 14.774 0.000 2.208
Sn 17.416 0.000 0.281

=====

ii | 20
Lattice="9.831 0.000 0.000 0.000 4.477 0.000 0.000 0.000 11.742" Properties=species:S:1:pos:R:3 comment="TlCuSn3 (GGA-PBE, optimized geometry)" spacegroup="Pnma, No. 62" m_tot_mub_per_atom=0.00 rho_g_cm3=8.02 dos_at_fermi_per_ev_cell=9.6 pbc="T T T"
Tl 1.396 1.119 0.041
Tl 3.519 3.358 5.912
Tl 6.312 1.119 5.831
Tl 8.435 3.358 11.702
Cu 0.489 1.119 4.012
Cu 4.426 3.358 9.883
Cu 5.405 1.119 1.860
Cu 9.342 3.358 7.731
Sn 0.856 1.119 6.752
Sn 1.269 3.358 2.552
Sn 1.670 3.358 9.402
Sn 3.245 1.119 3.531
Sn 3.647 1.119 8.423
Sn 4.060 3.358 0.881
Sn 5.771 1.119 10.861
Sn 6.184 3.358 3.319
Sn 6.586 3.358 8.212
Sn 8.161 1.119 2.341
Sn 8.562 1.119 9.190
Sn 8.975 3.358 4.990

=====

ii is the most stable structure; the next one sits 27 meV per atom above it.

=====

i | 5
Lattice="-1.797 1.797 6.463 1.797 -1.797 6.463 1.797 1.797 -6.463" Properties=species:S:1:pos:R:3 comment="Cu2SnW2 (GGA-PBE, optimized geometry)" spacegroup="I4/mmm, No. 139" m_tot_mub_per_atom=0.00 rho_g_cm3=12.20 dos_at_fermi_per_ev_cell=1.0 pbc="T T T"
Cu 1.797 0.000 3.231
Cu 0.000 1.797 3.231
Sn 0.000 0.000 0.000
W 0.000 0.000 5.173
W 0.000 0.000 7.752

=====

ii | 10
Lattice="7.187 0.000 0.000 0.000 7.187 0.000 0.000 0.000 3.233" Properties=species:S:1:pos:R:3 comment="Cu2SnW2 (GGA-PBE, optimized geometry)" spacegroup="P4/mbm, No. 127" m_tot_mub_per_atom=0.00 rho_g_cm3=12.20 dos_at_fermi_per_ev_cell=6.7 pbc="T T T"
Cu 1.258 2.335 0.000
Cu 2.335 5.929 0.000
Cu 4.852 1.258 0.000
Cu 5.929 4.852 0.000
Sn 0.000 0.000 1.617
Sn 3.594 3.594 1.617
W 0.863 4.457 1.617
W 2.730 0.863 1.617
W 4.457 6.324 1.617
W 6.324 2.730 1.617

=====

ii is the most stable structure; the next one sits 67 meV per atom above it.

=====

i | 5
Lattice="4.780 0.000 0.000 0.000 4.780 0.000 0.000 0.000 4.780" Properties=species:S:1:pos:R:3 comment="YCu3Sn (GGA-PBE, optimized geometry)" spacegroup="Pm-3m, No. 221" m_tot_mub_per_atom=0.00 rho_g_cm3=6.06 dos_at_fermi_per_ev_cell=3.7 pbc="T T T"
Y 0.000 0.000 0.000
Cu 0.000 2.390 2.390
Cu 2.390 0.000 2.390
Cu 2.390 2.390 0.000
Sn 2.390 2.390 2.390

=====

ii | 5
Lattice="5.066 0.000 0.000 0.000 5.066 0.000 0.000 0.000 5.066" Properties=species:S:1:pos:R:3 comment="YCu3Sn (GGA-PBE, optimized geometry)" spacegroup="Pm-3m, No. 221" m_tot_mub_per_atom=0.00 rho_g_cm3=5.09 dos_at_fermi_per_ev_cell=5.2 pbc="T T T"
Y 0.000 0.000 0.000
Cu 0.000 0.000 2.533
Cu 0.000 2.533 0.000
Cu 2.533 0.000 0.000
Sn 2.533 2.533 2.533

=====

i is the most stable structure; the next one sits 712 meV per atom above it.

=====

i | 10
Lattice="6.698 0.000 0.000 0.000 6.698 0.000 0.000 0.000 4.455" Properties=species:S:1:pos:R:3 comment="Zn2CuSn2 (GGA-PBE, optimized geometry)" spacegroup="P4/mbm, No. 127" m_tot_mub_per_atom=0.00 rho_g_cm3=7.18 dos_at_fermi_per_ev_cell=3.9 pbc="T T T"
Zn 0.929 2.420 0.000
Zn 2.420 5.769 0.000
Zn 4.278 0.929 0.000
Zn 5.769 4.278 0.000
Cu 0.000 0.000 0.000
Cu 3.349 3.349 0.000
Sn 1.163 4.512 2.227
Sn 2.186 1.163 2.227
Sn 4.512 5.534 2.227
Sn 5.534 2.186 2.227

=====

ii | 10
Lattice="6.997 0.000 0.000 0.000 6.997 0.000 0.000 0.000 4.402" Properties=species:S:1:pos:R:3 comment="Zn2CuSn2 (GGA-PBE, optimized geometry)" spacegroup="P4/mbm, No. 127" m_tot_mub_per_atom=0.00 rho_g_cm3=6.66 dos_at_fermi_per_ev_cell=3.2 pbc="T T T"
Zn 0.997 2.501 0.000
Zn 2.501 5.999 0.000
Zn 4.496 0.997 0.000
Zn 5.999 4.496 0.000
Cu 0.000 0.000 2.201
Cu 3.498 3.498 2.201
Sn 1.143 4.641 2.201
Sn 2.356 1.143 2.201
Sn 4.641 5.854 2.201
Sn 5.854 2.356 2.201

=====

i is the most stable structure; the next one sits 61 meV per atom above it.